## Rb3AcNd2S6 (PBE)

Data for a relaxed structure of Rb3AcNd2S6.

- ΔE_f (raw): -1838 meV/atom
- N(E_F): 0.0000 states/eV per atom
- Final energy: -5.2805 eV/atom
- Symmetry: C2/m

Cell and atoms, written as POSCAR:
```
Rb3AcNd2S6
1.0
-5.338 -4.582 2.479
7.171 -1.579 1.305
-0.943 6.024 5.359
Rb Nd S Ac
3 2 6 1
Cartesian
-3.728 -1.071 4.963 Rb
0.445 -0.069 4.571 Rb
4.618 0.933 4.180 Rb
3.002 -2.580 1.696 Nd
-1.168 -3.581 2.087 Nd
1.136 -3.249 3.799 S
-1.513 -0.383 7.376 S
-1.904 -0.788 2.170 S
-0.246 3.111 5.344 S
2.795 0.651 6.972 S
2.404 0.246 1.766 S
0.000 0.000 0.000 Ac
```